1.
Computed, not measured: a geometry-optimized In2CoGeSe structure at the GGA-PBEsol level of DFT.

Summary:
As for the total DFT energy (no corrections): -3.99 eV/atom. The crystal system is tetragonal. Its symmetry is P4/mmm (123). As for the density: 6.1 g/cm³. As for the density of states at the Fermi level: 2.94 states/eV per cell.

Geometry as POSCAR:
```
In2CoGeSe
1.0
5.225 0.000 0.000
0.000 5.225 0.000
0.000 0.000 4.402
In Co Ge Se
2 1 1 1
direct
0.000 0.500 0.000
0.500 0.000 0.000
0.000 0.000 0.500
0.000 0.000 0.000
0.500 0.500 0.500
```

2.
Computed, not measured: a geometry-optimized ZnCu2Se structure at the GGA-PBEsol level of DFT.

Summary:
The energy above the most stable polymorph in this dataset is 0.1281 eV/atom. The crystal system is trigonal. Its symmetry is R-3m (166). As for the density: 8.0 g/cm³. As for the density of states at the Fermi level: 1.65 states/eV per cell.

Geometry as POSCAR:
```
ZnCu2Se
1.0
1.446 0.835 7.825
-1.446 0.835 7.825
0.000 -1.669 7.825
Zn Cu Se
1 2 1
direct
0.000 0.000 0.000
0.252 0.252 0.252
0.748 0.748 0.748
0.500 0.500 0.500
```

3.
Computed, not measured: a geometry-optimized K2NiTe structure at the GGA-PBEsol level of DFT.

Summary:
As for the total DFT energy (no corrections): -2.92 eV/atom. The crystal system is orthorhombic. Its symmetry is Cmmm (65). As for the density: 4.0 g/cm³. As for the density of states at the Fermi level: 5.85 states/eV per cell.

Geometry as POSCAR:
```
K2NiTe
1.0
2.754 -4.410 0.000
2.754 4.410 0.000
0.000 0.000 4.546
K Ni Te
2 1 1
direct
0.000 0.500 0.000
0.500 0.000 0.000
0.000 0.000 0.500
0.500 0.500 0.500
```

4.
Computed, not measured: a geometry-optimized CaLaY2 structure at the GGA-PBEsol level of DFT.

Summary:
The energy above the most stable polymorph in this dataset is 0.0281 eV/atom. The calculation puts the formation energy from the elements at 92 meV/atom. The crystal system is monoclinic. Its symmetry is C2/m (12). As for the density: 4.5 g/cm³. As for the density of states at the Fermi level: 6.04 states/eV per cell.

Geometry as POSCAR:
```
CaLaY2
1.0
6.010 -1.792 0.000
6.010 1.792 0.000
-1.068 0.000 6.178
Ca La Y
1 1 2
direct
0.000 0.000 0.000
0.500 0.500 0.500
0.245 0.245 0.739
0.755 0.755 0.261
```

5.
Computed, not measured: a geometry-optimized SrTcHg2 structure at the GGA-PBEsol level of DFT.

Summary:
The energy above the most stable polymorph in this dataset is 0.0000 eV/atom. The calculation puts the formation energy from the elements at 430 meV/atom. The crystal system is orthorhombic. Its symmetry is Imm2 (44). As for the density: 11.1 g/cm³. As for the density of states at the Fermi level: 3.43 states/eV per cell.

Geometry as POSCAR:
```
SrTcHg2
1.0
-1.698 2.521 5.124
1.698 -2.521 5.124
1.698 2.521 -5.124
Sr Tc Hg
1 1 2
direct
0.000 0.000 0.000
0.253 0.753 0.500
0.465 0.465 0.000
0.723 0.223 0.500
```

6.
Computed, not measured: a geometry-optimized TcAsAu2 structure at the GGA-PBEsol level of DFT.

Summary:
The calculation puts the formation energy from the elements at 349 meV/atom. The crystal system is orthorhombic. Its symmetry is Pmmm (47). As for the density: 14.5 g/cm³. As for the density of states at the Fermi level: 3.02 states/eV per cell.

Geometry as POSCAR:
```
TcAsAu2
1.0
3.066 0.000 0.000
0.000 4.327 0.000
0.000 0.000 4.878
Tc As Au
1 1 2
direct
0.000 0.000 0.000
0.500 0.500 0.000
0.000 0.500 0.500
0.500 0.000 0.500
```

7.
Computed, not measured: a geometry-optimized NaCa3Pb structure at the GGA-PBEsol level of DFT.

Summary:
The calculation puts the formation energy from the elements at -102 meV/atom. The crystal system is cubic. Its symmetry is Pm-3m (221). As for the density: 2.6 g/cm³. As for the density of states at the Fermi level: 4.30 states/eV per cell.

Geometry as POSCAR:
```
NaCa3Pb
1.0
6.036 0.000 0.000
0.000 6.036 0.000
0.000 0.000 6.036
Na Ca Pb
1 3 1
direct
0.000 0.000 0.000
0.000 0.500 0.500
0.500 0.000 0.500
0.500 0.500 0.000
0.500 0.500 0.500
```

8.
Computed, not measured: a geometry-optimized PSe structure at the GGA-PBEsol level of DFT.

Summary:
The energy above the most stable polymorph in this dataset is 0.1365 eV/atom. The crystal system is monoclinic. Its symmetry is C2/m (12). As for the density: 4.1 g/cm³. As for the density of states at the Fermi level: 1.01 states/eV per cell.

Geometry as POSCAR:
```
PSe
1.0
5.199 -1.730 0.000
5.199 1.730 0.000
-3.369 0.000 4.926
P Se
2 2
direct
0.199 0.199 0.053
0.801 0.801 0.947
0.381 0.381 0.505
0.619 0.619 0.495
```